Run A
An optimized crystal structure of K3CdSb2, computed with PBE.

```
K3CdSb2
1.0
-3.952 7.540 4.691
3.952 -7.540 4.691
3.952 7.540 -4.691
K Cd Sb
6 2 4
Cartesian
3.952 -3.495 2.345 K
0.000 0.000 2.345 K
3.952 3.495 2.345 K
0.000 4.045 2.345 K
0.000 0.000 7.036 K
0.000 11.035 2.345 K
3.952 0.000 0.000 Cd
0.000 7.540 0.000 Cd
1.930 1.847 0.000 Sb
1.930 -1.847 4.691 Sb
2.022 9.388 0.000 Sb
2.022 5.693 4.691 Sb
```

Output
DOS at the Fermi energy ... 11.68 states/eV/cell

=====

Run B
An optimized crystal structure of K3CdSb2, computed with PBE.

```
K3CdSb2
1.0
-4.419 7.606 3.656
4.419 -7.606 3.656
4.419 7.606 -3.656
K Cd Sb
6 2 4
Cartesian
6.000 2.696 0.000 K
0.000 0.000 1.828 K
1.581 4.910 0.000 K
2.838 2.696 3.656 K
0.000 0.000 5.483 K
-1.581 4.910 3.656 K
4.419 0.000 1.828 Cd
0.000 7.606 1.828 Cd
2.653 1.498 0.000 Sb
2.653 -1.498 3.656 Sb
1.765 9.104 0.000 Sb
1.765 6.108 3.656 Sb
```

Output
DOS at the Fermi energy ... 13.31 states/eV/cell

=====

It comes down to run B, which is 78 meV/atom more stable than the next structure.

=====

Run A
An optimized crystal structure of K2Cd2Sb, computed with PBE.

```
K2Cd2Sb
1.0
-2.036 2.036 11.205
2.036 -2.036 11.205
2.036 2.036 -11.205
K Cd Sb
2 2 1
Cartesian
0.000 0.000 2.175 K
0.000 0.000 20.235 K
2.036 0.000 5.602 Cd
0.000 2.036 5.602 Cd
0.000 0.000 11.205 Sb
```

Output
DOS at the Fermi energy ... 2.23 states/eV/cell

=====

Run B
An optimized crystal structure of K2Cd2Sb, computed with PBE.

```
K2Cd2Sb
1.0
-2.526 2.526 7.130
2.526 -2.526 7.130
2.526 2.526 -7.130
K Cd Sb
2 2 1
Cartesian
2.526 0.000 3.565 K
0.000 2.526 3.565 K
0.000 0.000 1.354 Cd
0.000 0.000 12.906 Cd
0.000 0.000 7.130 Sb
```

Output
DOS at the Fermi energy ... 3.34 states/eV/cell

=====

Run C
An optimized crystal structure of K2Cd2Sb, computed with PBE.

```
K2Cd2Sb
1.0
7.837 0.000 0.000
0.000 7.837 0.000
0.000 0.000 5.639
K Cd Sb
4 4 2
Cartesian
1.457 2.461 0.000 K
2.461 6.380 0.000 K
5.375 1.457 0.000 K
6.380 5.375 0.000 K
1.006 4.925 2.819 Cd
2.912 1.006 2.819 Cd
4.925 6.830 2.819 Cd
6.830 2.912 2.819 Cd
0.000 0.000 2.819 Sb
3.918 3.918 2.819 Sb
```

Output
DOS at the Fermi energy ... 6.12 states/eV/cell

=====

It comes down to run C, which is 82 meV/atom more stable than the next structure.

=====

Run A
An optimized crystal structure of K3CdSb, computed with PBE.

```
K3CdSb
1.0
-5.472 4.937 4.779
5.472 -4.937 4.779
5.472 4.937 -4.779
K Cd Sb
6 2 2
Cartesian
0.613 1.971 0.000 K
4.860 1.971 0.000 K
2.736 -0.977 6.448 K
2.736 5.914 1.669 K
0.613 2.966 4.779 K
4.860 2.966 4.779 K
2.736 4.703 -1.814 Cd
2.736 0.234 2.965 Cd
8.209 0.800 0.307 Sb
-2.736 4.137 5.086 Sb
```

=====

Run B
An optimized crystal structure of K3CdSb, computed with PBE.

```
K3CdSb
1.0
6.774 0.000 0.000
0.000 6.774 0.000
0.000 0.000 6.774
K Cd Sb
3 1 1
Cartesian
0.000 0.000 3.387 K
0.000 3.387 0.000 K
3.387 0.000 0.000 K
3.387 3.387 3.387 Cd
0.000 0.000 0.000 Sb
```

Output
DOS at the Fermi energy ... 0.00 states/eV/cell

=====

It comes down to run A, which is 91 meV/atom more stable than the next structure.

=====

Run A
An optimized crystal structure of KCd3Sb, computed with PBE.

```
KCd3Sb
1.0
5.789 0.000 0.000
0.000 5.789 0.000
0.000 0.000 5.789
K Cd Sb
1 3 1
Cartesian
0.000 0.000 0.000 K
0.000 2.895 2.895 Cd
2.895 0.000 2.895 Cd
2.895 2.895 0.000 Cd
2.895 2.895 2.895 Sb
```

Output
DOS at the Fermi energy ... 2.42 states/eV/cell

=====

Run B
An optimized crystal structure of KCd3Sb, computed with PBE.

```
KCd3Sb
1.0
6.288 0.000 0.000
0.000 6.288 0.000
0.000 0.000 6.288
K Cd Sb
1 3 1
Cartesian
0.000 0.000 0.000 K
0.000 0.000 3.144 Cd
0.000 3.144 0.000 Cd
3.144 0.000 0.000 Cd
3.144 3.144 3.144 Sb
```

Output
DOS at the Fermi energy ... 4.15 states/eV/cell

=====

It comes down to run A, which is 628 meV/atom more stable than the next structure.